Below is a relaxed structure of VCdNiF6, with properties calculated at the GGA+U level.

Geometry as POSCAR:
```
VCdNiF6
1.0
-5.368 0.387 -0.396
2.249 -1.731 4.590
0.415 9.034 3.204
V Cd Ni F
2 2 2 12
direct
0.333 0.667 0.250
0.667 0.333 0.750
0.000 0.000 0.000
0.000 0.000 0.500
0.667 0.333 0.250
0.333 0.667 0.750
0.658 0.646 0.135
0.988 0.342 0.135
0.342 0.988 0.635
0.012 0.658 0.865
0.354 0.342 0.365
0.988 0.646 0.365
0.646 0.988 0.865
0.658 0.012 0.365
0.012 0.354 0.635
0.354 0.012 0.135
0.646 0.658 0.635
0.342 0.354 0.865
```

Results
DFT total energy   -4.80 eV per atom